Density functional theory data (PBE) for an optimized crystal structure of La2ScFe.

- formation energy from the elements (eV/atom) = 0.326
- space group = I-42d
- relative energy among the computed polymorphs (eV per atom) = 0.211

a = 8.560 Å, b = 8.560 Å, c = 6.734 Å
α = 50.53°, β = 50.53°, γ = 90.00°
Fractional positions:
La (0.717, 0.125, 0.250)
La (0.033, 0.625, 0.250)
La (0.375, 0.283, 0.750)
La (0.875, 0.967, 0.750)
Fe (0.750, 0.250, 0.500)
Fe (0.000, 0.000, 0.000)
Sc (0.250, 0.750, 0.500)
Sc (0.500, 0.500, 0.000)



Density functional theory data (PBE) for an optimized crystal structure of Dy2TmNpS6.

- space group = R3
- formation energy from raw total energies (eV/atom) = -1.85

a = 6.913 Å, b = 6.913 Å, c = 7.367 Å
α = 62.03°, β = 62.03°, γ = 60.00°
Each line ends with the local moment (μB).
Fractional positions:
S (0.921, 0.610, 0.250)  -0.02
S (0.610, 0.219, 0.250)  -0.02
S (0.122, 0.409, 0.753)  -0.02
S (0.716, 0.122, 0.753)  -0.02
S (0.409, 0.716, 0.753)  -0.02
S (0.219, 0.921, 0.250)  -0.02
Dy (0.015, 0.015, 0.956)  0.04
Dy (0.518, 0.518, 0.447)  0.03
Tm (0.317, 0.317, 0.048)  0.02
Np (0.815, 0.815, 0.556)  3.84



Density functional theory data (PBE) for an optimized crystal structure of NaCaPrGe.

- formation energy from the elements (eV/atom) = -0.261
- space group = F-43m

a = 5.335 Å, b = 5.335 Å, c = 5.335 Å
α = 60.00°, β = 60.00°, γ = 60.00°
Fractional positions:
Pr (0.500, 0.500, 0.500)
Na (0.250, 0.250, 0.250)
Ca (0.000, 0.000, 0.000)
Ge (0.750, 0.750, 0.750)



Density functional theory data (PBE) for an optimized crystal structure of Al2AgSnHg.

- formation energy from the elements (eV/atom) = 0.602
- space group = P4/mmm

a = 5.473 Å, b = 5.235 Å, c = 5.473 Å
α = 90.00°, β = 90.00°, γ = 90.00°
Fractional positions:
Sn (0.000, 0.000, 0.000)
Hg (0.500, 0.500, 0.500)
Al (0.000, 0.000, 0.500)
Al (0.500, 0.000, 0.000)
Ag (0.000, 0.500, 0.000)



Density functional theory data (PBE) for an optimized crystal structure of Rb2TlTeSe.

- space group = P2_1/m
- relative energy among the computed polymorphs (eV per atom) = 0.000
- formation energy from raw total energies (eV/atom) = -0.79

a = 5.624 Å, b = 8.663 Å, c = 8.588 Å
α = 92.64°, β = 90.00°, γ = 90.00°
Fractional positions:
Rb (0.250, 0.213, 0.001)
Rb (0.250, 0.166, 0.484)
Rb (0.750, 0.787, 0.999)
Rb (0.750, 0.834, 0.516)
Se (0.250, 0.878, 0.758)
Se (0.750, 0.122, 0.242)
Te (0.250, 0.566, 0.291)
Te (0.750, 0.434, 0.709)
Tl (0.250, 0.568, 0.681)
Tl (0.750, 0.432, 0.319)



Density functional theory data (PBE) for an optimized crystal structure of Pr8HgRh2.

- formation energy from the elements (eV/atom) = -0.292
- space group = C2/m
- relative energy among the computed polymorphs (eV per atom) = 0.000

a = 6.503 Å, b = 8.417 Å, c = 8.417 Å
α = 49.86°, β = 96.83°, γ = 96.83°
Fractional positions:
Pr (0.841, 0.577, 0.577)
Pr (0.377, 0.370, 0.879)
Pr (0.875, 0.201, 0.201)
Pr (0.125, 0.799, 0.799)
Pr (0.623, 0.121, 0.630)
Pr (0.623, 0.630, 0.121)
Pr (0.159, 0.423, 0.423)
Pr (0.377, 0.879, 0.370)
Rh (0.328, 0.269, 0.269)
Rh (0.672, 0.731, 0.731)
Hg (0.000, 0.000, 0.000)



Density functional theory data (PBE) for an optimized crystal structure of Tb2PrSc.

- formation energy from the elements (eV/atom) = 0.030
- space group = Pmmn
- relative energy among the computed polymorphs (eV per atom) = 0.000

a = 3.557 Å, b = 6.092 Å, c = 11.963 Å
α = 90.01°, β = 72.71°, γ = 90.01°
Fractional positions:
Tb (0.210, 0.364, 0.099)
Tb (0.692, 0.363, 0.617)
Tb (0.210, 0.853, 0.599)
Tb (0.692, 0.853, 0.117)
Pr (0.451, 0.196, 0.358)
Pr (0.451, 0.020, 0.858)
Sc (0.951, 0.529, 0.858)
Sc (0.951, 0.688, 0.358)



Density functional theory data (PBE) for an optimized crystal structure of Li2YSiGe2.

- space group = Pmc2_1
- formation energy from raw total energies (eV/atom) = -0.43

a = 4.023 Å, b = 7.710 Å, c = 7.640 Å
α = 90.00°, β = 90.00°, γ = 90.00°
Fractional positions:
Ge (0.000, 0.201, 0.836)
Ge (0.000, 0.701, 0.164)
Ge (0.500, 0.762, 0.658)
Ge (0.500, 0.262, 0.342)
Si (0.500, 0.741, 0.345)
Si (0.500, 0.241, 0.655)
Y (0.000, 0.002, 0.476)
Y (0.000, 0.502, 0.524)
Li (0.000, 0.839, 0.855)
Li (0.500, 0.001, 0.100)
Li (0.000, 0.339, 0.145)
Li (0.500, 0.501, 0.900)



Density functional theory data (PBE) for an optimized crystal structure of Tb12Pr2Tm5.

- formation energy from the elements (eV/atom) = 0.089
- space group = P-1
- relative energy among the computed polymorphs (eV per atom) = 0.000

a = 6.715 Å, b = 11.618 Å, c = 11.343 Å
α = 134.81°, β = 87.65°, γ = 100.35°
Fractional positions:
Tb (0.646, 0.973, 0.114)
Tb (0.885, 0.151, 0.906)
Tb (0.836, 0.557, 0.142)
Tb (0.112, 0.692, 0.465)
Tb (0.660, 0.570, 0.883)
Tb (0.888, 0.308, 0.535)
Tb (0.382, 0.218, 0.465)
Tb (0.164, 0.443, 0.858)
Tb (0.354, 0.027, 0.886)
Tb (0.340, 0.430, 0.117)
Tb (0.115, 0.849, 0.094)
Tb (0.618, 0.782, 0.535)
Tm (0.345, 0.615, 0.683)
Tm (0.544, 0.181, 0.716)
Tm (0.655, 0.385, 0.317)
Tm (0.456, 0.819, 0.284)
Tm (0.000, 0.000, 0.500)
Pr (0.115, 0.259, 0.246)
Pr (0.885, 0.741, 0.754)



Density functional theory data (PBE) for an optimized crystal structure of SrMoOs2.

- formation energy from the elements (eV/atom) = 0.507
- space group = P4/mmm
- relative energy among the computed polymorphs (eV per atom) = 0.000

a = 3.104 Å, b = 3.104 Å, c = 7.817 Å
α = 90.00°, β = 90.00°, γ = 90.00°
Fractional positions:
Os (0.000, 0.000, 0.942)
Os (0.000, 0.000, 0.558)
Mo (0.500, 0.500, 0.750)
Sr (0.500, 0.500, 0.250)



Density functional theory data (PBE) for an optimized crystal structure of ReHg2.

- formation energy from the elements (eV/atom) = 0.819
- space group = P-3m1
- relative energy among the computed polymorphs (eV per atom) = 0.267

a = 2.945 Å, b = 2.945 Å, c = 7.652 Å
α = 90.00°, β = 90.00°, γ = 120.00°
Fractional positions:
Hg (0.333, 0.667, 0.648)
Hg (0.000, 0.000, 0.018)
Re (0.667, 0.333, 0.333)



Density functional theory data (PBE) for an optimized crystal structure of ThTeH.

- total DFT energy (no corrections) (eV per cell) = -32.6
- space group = C2/m

a = 4.169 Å, b = 4.171 Å, c = 10.679 Å
α = 90.27°, β = 78.74°, γ = 60.02°
Fractional positions:
Th (0.765, 0.116, 0.355)
Th (0.235, 0.884, 0.645)
Te (0.225, 0.384, 0.166)
Te (0.775, 0.616, 0.834)
H (0.611, 0.196, 0.583)
H (0.389, 0.804, 0.417)



Number 1: magnetization 0.00 μB/f.u., N(E_F) 6.09 states/eV/f.u.. Number 2: magnetization 4.00 μB/f.u., N(E_F) 6.40 states/eV/f.u.. Number 3: magnetization 0.00 μB/f.u., N(E_F) 2.72 states/eV/f.u.. Number 4: magnetization 0.00 μB/f.u., N(E_F) 1.83 states/eV/f.u.. Number 5: magnetization 0.00 μB/f.u., N(E_F) 0.52 states/eV/f.u.. Number 6: magnetization 0.00 μB/f.u., N(E_F) 13.37 states/eV/f.u.. Number 7: magnetization 0.00 μB/f.u., N(E_F) 5.69 states/eV/f.u.. Number 8: magnetization 0.00 μB/f.u., N(E_F) 1.91 states/eV/f.u.. Number 9: magnetization 0.00 μB/f.u., N(E_F) 27.08 states/eV/f.u.. Number 10: magnetization 0.00 μB/f.u., N(E_F) 3.81 states/eV/f.u.. Number 11: magnetization 0.00 μB/f.u., N(E_F) 2.35 states/eV/f.u.. Number 12: magnetization 0.00 μB/f.u., N(E_F) 0.21 states/eV/f.u..